w | The following is a DFT calculation (PBE) of a geometry-optimized ZnRu4 structure.

Cell lengths 3.7236, 3.7236, 11.5763 Å; angles 90.00, 90.00, 90.00 degrees
Last column: nearest neighbours and their distance in Å.
Space group I4/mmm (No. 139)
Symmetry-distinct sites (fractional):
Zn: 0.0000 0.0000 0.0000 (multiplicity 2)  8 Ru 2.88
Ru: 0.0000 0.0000 0.3998 (multiplicity 4)  5 Ru 2.32-2.54
Ru: 0.0000 0.5000 0.2500 (multiplicity 4)  8 Ru 2.54-2.63

## Properties
DOS(E_F)   10.56 states/eV/cell
Spin magnetization   0.000 μB/atom

x | The following is a DFT calculation (PBE) of a geometry-optimized ZnRu4 structure.

Cell lengths 4.4050, 4.4050, 4.4050 Å; angles 90.00, 90.00, 90.00 degrees
Last column: nearest neighbours and their distance in Å.
Space group Pm-3m (No. 221)
Symmetry-distinct sites (fractional):
Zn: 0.0000 0.0000 0.0000 (multiplicity 1)  6 Ru 2.20
Ru: 0.0000 0.0000 0.5000 (multiplicity 3)  2 Zn 2.20
Ru: 0.5000 0.5000 0.5000 (multiplicity 1)  12 Ru 3.11

## Properties
DOS(E_F)   8.18 states/eV/cell
Spin magnetization   0.271 μB/atom

y | The following is a DFT calculation (PBE) of a geometry-optimized ZnRu4 structure.

Cell lengths 5.5156, 5.5156, 5.5156 Å; angles 90.00, 90.00, 90.00 degrees
Last column: nearest neighbours and their distance in Å.
Space group Im-3m (No. 229)
Symmetry-distinct sites (fractional):
Zn: 0.0000 0.0000 0.0000 (multiplicity 2)  8 Ru 2.39
Ru: 0.2500 0.2500 0.2500 (multiplicity 8)  2 Zn 2.39

## Properties
DOS(E_F)   20.18 states/eV/cell
Spin magnetization   0.002 μB/atom

Computed energies relative to the best structure, in meV per atom: w 0; x 1320; y 901

w | The following is a DFT calculation (PBE) of a geometry-optimized Zn5Ru3 structure.

Cell lengths 7.5566, 7.6883, 3.8638 Å; angles 90.00, 90.00, 90.00 degrees
Last column: nearest neighbours and their distance in Å.
Space group Cmmm (No. 65)
Symmetry-distinct sites (fractional):
Zn: 0.0000 0.0000 0.0000 (multiplicity 2)  4 Ru 2.64, 8 Zn 2.70-2.76
Zn: 0.2383 0.5000 0.5000 (multiplicity 4)  6 Ru 2.64-2.73, 6 Zn 2.73-2.76
Zn: 0.2500 0.2500 0.0000 (multiplicity 4)  6 Ru 2.70, 6 Zn 2.70-2.73
Ru: 0.0000 0.2338 0.5000 (multiplicity 4)  10 Zn 2.64-2.73, 2 Ru 2.81
Ru: 0.0000 0.5000 0.0000 (multiplicity 2)  8 Zn 2.64-2.70, 4 Ru 2.81

## Properties
DOS(E_F)   14.57 states/eV/cell
Spin magnetization   0.244 μB/atom

x | The following is a DFT calculation (PBE) of a geometry-optimized Zn5Ru3 structure.

Cell lengths 4.7606, 13.9307, 7.3533 Å; angles 90.00, 108.68, 90.00 degrees
Last column: nearest neighbours and their distance in Å.
Space group C2/m (No. 12)
Symmetry-distinct sites (fractional):
Zn: 0.0960 0.1633 0.1935 (multiplicity 8)  6 Ru 2.54-2.75, 3 Zn 2.70-2.72
Zn: 0.1630 0.4030 0.3271 (multiplicity 8)  6 Ru 2.54-2.75, 3 Zn 2.70-2.72
Zn: 0.2492 0.0000 0.9987 (multiplicity 4)  2 Zn 2.38
Ru: 0.0000 0.2500 0.5000 (multiplicity 4)  2 Ru 2.38
Ru: 0.0000 0.3180 0.0000 (multiplicity 4)  10 Zn 2.54-2.80
Ru: 0.1808 0.0000 0.3636 (multiplicity 4)  10 Zn 2.54-2.80

## Properties
DOS(E_F)   21.53 states/eV/cell
Spin magnetization   0.000 μB/atom

Computed energies relative to the best structure, in meV per atom: w 0; x 146

w | The following is a DFT calculation (PBE) of a geometry-optimized Zr3ZnRu structure.

Cell lengths 5.0046, 5.0046, 5.0046 Å; angles 90.00, 90.00, 90.00 degrees
Last column: nearest neighbours and their distance in Å.
Space group Pm-3m (No. 221)
Symmetry-distinct sites (fractional):
Zr: 0.0000 0.0000 0.5000 (multiplicity 3)  2 Ru 2.50
Zn: 0.5000 0.5000 0.5000 (multiplicity 1)  12 Zr 3.54
Ru: 0.0000 0.0000 0.0000 (multiplicity 1)  6 Zr 2.50

## Properties
DOS(E_F)   11.37 states/eV/cell
Spin magnetization   0.000 μB/atom

x | The following is a DFT calculation (PBE) of a geometry-optimized Zr3ZnRu structure.

Cell lengths 4.8683, 4.8683, 4.8683 Å; angles 90.00, 90.00, 90.00 degrees
Last column: nearest neighbours and their distance in Å.
Space group Pm-3m (No. 221)
Symmetry-distinct sites (fractional):
Zr: 0.0000 0.0000 0.5000 (multiplicity 3)  2 Zn 2.43
Zn: 0.0000 0.0000 0.0000 (multiplicity 1)  6 Zr 2.43
Ru: 0.5000 0.5000 0.5000 (multiplicity 1)  12 Zr 3.44

## Properties
DOS(E_F)   8.21 states/eV/cell
Spin magnetization   0.000 μB/atom

Computed energies relative to the best structure, in meV per atom: w 0; x 563